No. 1
This record from the Alexandria database describes a relaxed Pa2MnGe2 crystal. The functional is GGA-PBE.

a = 3.7546 Å, b = 5.7828 Å, c = 9.9684 Å
α = 83.62°, β = 79.14°, γ = 71.06°
Closest atoms and distances in Å follow each position.
Fractional coordinates of all 10 atoms:
1 Pa 0.7867 0.3185 0.1081  2 Mn 2.64, 1 Ge 2.93
2 Pa 0.2133 0.6815 0.8919  2 Mn 2.64, 1 Ge 2.93
3 Pa 0.9154 0.8086 0.3607  2 Mn 2.81, 5 Ge 3.02-3.05
4 Pa 0.0846 0.1914 0.6393  2 Mn 2.81, 5 Ge 3.02-3.05
5 Ge 0.3781 0.6502 0.5936  2 Mn 2.47, 1 Ge 2.53
6 Ge 0.6219 0.3498 0.4064  2 Mn 2.47, 1 Ge 2.53
7 Ge 0.4886 0.1383 0.8846  1 Mn 2.42, 1 Ge 2.65
8 Ge 0.5114 0.8617 0.1154  1 Mn 2.42, 1 Ge 2.65
9 Mn 0.2732 0.1709 0.2827  3 Ge 2.42-2.47, 2 Pa 2.64
10 Mn 0.7268 0.8291 0.7173  3 Ge 2.42-2.47, 2 Pa 2.64

Output
Uncorrected energy ... -7.90 eV/atom
Energy relative to the elements ... -0.4192 eV per atom
Space group ... C2/m

***

No. 2
This record from the Alexandria database describes a relaxed PtRh2 crystal. The functional is GGA-PBE.

a = 3.8727 Å, b = 8.2379 Å, c = 5.5118 Å
α = 90.00°, β = 90.00°, γ = 90.00°
Closest atoms and distances in Å follow each position.
Fractional coordinates of all 12 atoms:
1 Rh 0.7500 0.4173 0.8760  7 Rh 2.72-2.76, 5 Pt 2.74-2.77
2 Rh 0.7500 0.7528 0.3752  7 Rh 2.72-2.76, 5 Pt 2.72-2.78
3 Rh 0.7500 0.7472 0.8752  7 Rh 2.72-2.76, 5 Pt 2.72-2.78
4 Rh 0.2500 0.2472 0.6248  7 Rh 2.72-2.76, 5 Pt 2.72-2.78
5 Rh 0.2500 0.2528 0.1248  7 Rh 2.72-2.76, 5 Pt 2.72-2.78
6 Rh 0.2500 0.9173 0.6240  7 Rh 2.72-2.76, 5 Pt 2.74-2.77
7 Rh 0.2500 0.5827 0.1240  7 Rh 2.72-2.76, 5 Pt 2.74-2.77
8 Rh 0.7500 0.0827 0.3760  7 Rh 2.72-2.76, 5 Pt 2.74-2.77
9 Pt 0.2500 0.9150 0.1259  10 Rh 2.72-2.78, 2 Pt 2.76
10 Pt 0.2500 0.5850 0.6259  10 Rh 2.72-2.78, 2 Pt 2.76
11 Pt 0.7500 0.4150 0.3741  10 Rh 2.72-2.78, 2 Pt 2.76
12 Pt 0.7500 0.0850 0.8741  10 Rh 2.72-2.78, 2 Pt 2.76

Output
Uncorrected energy ... -6.94 eV/atom
Energy relative to the elements ... -0.0218 eV per atom
Space group ... Pnma
Relative energy among the computed polymorphs ... 0.004 eV/atom

***

No. 3
This record from the Alexandria database describes a relaxed CaHo2Cd4 crystal. The functional is GGA-PBE.

a = 5.1032 Å, b = 5.1032 Å, c = 8.5527 Å
α = 107.36°, β = 107.36°, γ = 90.00°
Closest atoms and distances in Å follow each position.
Fractional coordinates of all 7 atoms:
1 Cd 0.6246 0.1246 0.2492  4 Ho 3.20-3.22, 2 Ca 3.20
2 Cd 0.1246 0.6246 0.2492  4 Ho 3.20-3.22, 2 Ca 3.20
3 Cd 0.8754 0.3754 0.7508  4 Ho 3.20-3.22, 2 Ca 3.20
4 Cd 0.3754 0.8754 0.7508  4 Ho 3.20-3.22, 2 Ca 3.20
5 Ho 0.7488 0.7488 0.4976  8 Cd 3.20-3.22
6 Ho 0.2512 0.2512 0.5024  8 Cd 3.20-3.22
7 Ca 0.0000 0.0000 0.0000  8 Cd 3.20

Output
Uncorrected energy ... -2.25 eV/atom
Energy relative to the elements ... -0.1310 eV per atom
Space group ... I4/mmm

***

No. 4
This record from the Alexandria database describes a relaxed AlCdBi2Pd crystal. The functional is GGA-PBE.

a = 5.6379 Å, b = 4.9026 Å, c = 5.6379 Å
α = 90.00°, β = 90.00°, γ = 90.00°
Closest atoms and distances in Å follow each position.
Fractional coordinates of all 5 atoms:
1 Cd 0.0000 0.0000 0.0000  2 Al 2.45
2 Al 0.0000 0.5000 0.0000  2 Cd 2.45
3 Bi 0.5000 0.0000 0.0000  2 Cd 2.82
4 Bi 0.0000 0.0000 0.5000  2 Cd 2.82
5 Pd 0.5000 0.5000 0.5000  8 Bi 3.74, 4 Al 3.99

Output
Uncorrected energy ... -2.68 eV/atom
Energy relative to the elements ... 0.8390 eV per atom
Space group ... P4/mmm

***

No. 5
This record from the Alexandria database describes a relaxed Th2ScNi3Ge4 crystal. The functional is GGA-PBE.

a = 4.1964 Å, b = 4.1964 Å, c = 10.4087 Å
α = 90.00°, β = 90.00°, γ = 90.00°
Closest atoms and distances in Å follow each position.
Fractional coordinates of all 10 atoms:
1 Th 0.5000 0.0000 0.2311  8 Ge 3.19, 6 Ni 3.21-3.50, 2 Sc 3.50
2 Th 0.0000 0.5000 0.7689  8 Ge 3.19, 6 Ni 3.21-3.50, 2 Sc 3.50
3 Ge 0.0000 0.0000 0.0000  4 Ni 2.40
4 Ge 0.5000 0.5000 0.0000  4 Ni 2.40
5 Ge 0.0000 0.5000 0.3436  3 Ni 2.40-2.66, 2 Sc 2.66
6 Ge 0.5000 0.0000 0.6564  3 Ni 2.40-2.66, 2 Sc 2.66
7 Ni 0.5000 0.0000 0.8871  5 Ge 2.40
8 Ni 0.0000 0.5000 0.1129  5 Ge 2.40
9 Ni 0.0000 0.0000 0.5000  4 Ge 2.66, 4 Sc 2.97
10 Sc 0.5000 0.5000 0.5000  4 Ge 2.66, 4 Ni 2.97

Output
Uncorrected energy ... -6.41 eV/atom
Energy relative to the elements ... -0.7163 eV per atom
Space group ... P-4m2

***

No. 6
This record from the Alexandria database describes a relaxed Tl3AsAu2 crystal. The functional is GGA-PBE.

a = 8.1800 Å, b = 8.0455 Å, c = 10.8642 Å
α = 90.00°, β = 113.15°, γ = 90.00°
Closest atoms and distances in Å follow each position.
Fractional coordinates of all 24 atoms:
1 Au 0.8095 0.3224 0.3189  1 As 2.55
2 Au 0.3095 0.1776 0.8189  1 As 2.55
3 Au 0.6905 0.8224 0.1811  1 As 2.55
4 Au 0.8143 0.7721 0.8092  1 As 2.54
5 Au 0.1905 0.6776 0.6811  1 As 2.55
6 Au 0.6857 0.2721 0.6908  1 As 2.54
7 Au 0.1857 0.2279 0.1908  1 As 2.54
8 Au 0.3143 0.7279 0.3092  1 As 2.54
9 As 0.6396 0.8120 0.3980  2 Au 2.54-2.55
10 As 0.8604 0.3120 0.1020  2 Au 2.54-2.55
11 As 0.1396 0.6880 0.8980  2 Au 2.54-2.55
12 As 0.3604 0.1880 0.6020  2 Au 2.54-2.55
13 Tl 0.5373 0.1648 0.3856  3 Au 2.87-3.17, 1 As 2.95
14 Tl 0.9627 0.6648 0.1144  3 Au 2.87-3.17, 1 As 2.95
15 Tl 0.6767 0.0189 0.9429  3 Au 2.93-3.05, 1 As 2.96
16 Tl 0.4627 0.8352 0.6144  3 Au 2.87-3.17, 1 As 2.95
17 Tl 0.4465 0.4952 0.1416  4 Au 3.09-3.23, 1 As 3.24
18 Tl 0.3233 0.9811 0.0571  3 Au 2.93-3.05, 1 As 2.96
19 Tl 0.5535 0.5048 0.8584  4 Au 3.09-3.23, 1 As 3.24
20 Tl 0.1767 0.4811 0.4429  3 Au 2.93-3.05, 1 As 2.96
21 Tl 0.0535 0.9952 0.3584  4 Au 3.09-3.23, 1 As 3.24
22 Tl 0.9465 0.0048 0.6416  4 Au 3.09-3.23, 1 As 3.24
23 Tl 0.0373 0.3352 0.8856  3 Au 2.87-3.17, 1 As 2.95
24 Tl 0.8233 0.5189 0.5571  3 Au 2.93-3.05, 1 As 2.96

Output
Uncorrected energy ... -3.03 eV/atom
Energy relative to the elements ... 0.0176 eV per atom
Space group ... P2_1/c

***

No. 7
This record from the Alexandria database describes a relaxed Hf12In3Sn crystal. The functional is GGA-PBE.

a = 4.4360 Å, b = 4.4360 Å, c = 17.6304 Å
α = 90.00°, β = 90.00°, γ = 90.00°
Closest atoms and distances in Å follow each position.
Fractional coordinates of all 16 atoms:
1 Hf 0.0000 0.5000 0.3748  8 Hf 3.13-3.14, 4 In 3.13
2 Hf 0.5000 0.0000 0.8756  8 Hf 3.12-3.14, 2 Sn 3.12, 2 In 3.13
3 Hf 0.5000 0.0000 0.3748  8 Hf 3.13-3.14, 4 In 3.13
4 Hf 0.5000 0.0000 0.1244  8 Hf 3.12-3.14, 2 Sn 3.12, 2 In 3.13
5 Hf 0.5000 0.5000 0.0000  8 Hf 3.12, 4 Sn 3.14
6 Hf 0.5000 0.5000 0.7500  8 Hf 3.13, 4 In 3.14
7 Hf 0.5000 0.5000 0.2500  8 Hf 3.13, 4 In 3.14
8 Hf 0.0000 0.5000 0.6252  8 Hf 3.13-3.14, 4 In 3.13
9 Hf 0.5000 0.0000 0.6252  8 Hf 3.13-3.14, 4 In 3.13
10 Hf 0.0000 0.5000 0.1244  8 Hf 3.12-3.14, 2 Sn 3.12, 2 In 3.13
11 Hf 0.5000 0.5000 0.5000  8 Hf 3.13, 4 In 3.14
12 Hf 0.0000 0.5000 0.8756  8 Hf 3.12-3.14, 2 Sn 3.12, 2 In 3.13
13 In 0.0000 0.0000 0.7502  12 Hf 3.13-3.14
14 In 0.0000 0.0000 0.2498  12 Hf 3.13-3.14
15 In 0.0000 0.0000 0.5000  12 Hf 3.13-3.14
16 Sn 0.0000 0.0000 0.0000  12 Hf 3.12-3.14

Output
Uncorrected energy ... -8.39 eV/atom
Energy relative to the elements ... -0.1659 eV per atom
Space group ... P4/mmm

***

No. 8
This record from the Alexandria database describes a relaxed ScIn2Si2 crystal. The functional is GGA-PBE.

a = 5.3063 Å, b = 3.6385 Å, c = 6.0096 Å
α = 107.30°, β = 93.50°, γ = 69.77°
Closest atoms and distances in Å follow each position.
Fractional coordinates of all 5 atoms:
1 In 0.7718 0.4102 0.5903  3 In 2.94-3.06, 3 Si 3.00-3.11, 2 Sc 3.21-3.23
2 In 0.2281 0.5898 0.4097  3 In 2.94-3.06, 3 Si 3.00-3.11, 2 Sc 3.21-3.23
3 Si 0.5819 0.7652 0.1139  2 Si 2.40-2.41
4 Si 0.4181 0.2348 0.8862  2 Si 2.40-2.41
5 Sc 0.0000 0.0000 0.0000  6 Si 2.81-3.00

Output
Uncorrected energy ... -4.66 eV/atom
Formation energy (no corrections) ... -0.663 eV per formula unit
Space group ... P-1

***

No. 9
This record from the Alexandria database describes a relaxed AlSb2W crystal. The functional is GGA-PBE.

a = 6.3010 Å, b = 6.3010 Å, c = 7.5658 Å
α = 65.39°, β = 65.39°, γ = 90.00°
Closest atoms and distances in Å follow each position.
Fractional coordinates of all 8 atoms:
1 Sb 0.3750 0.3678 0.7500  2 W 2.68, 2 Al 2.73
2 Sb 0.1178 0.6250 0.2500  2 W 2.68, 2 Al 2.73
3 Sb 0.6322 0.1250 0.2500  2 W 2.68, 2 Al 2.73
4 Sb 0.8750 0.8822 0.7500  2 W 2.68, 2 Al 2.73
5 Al 0.5000 0.5000 0.0000  4 Sb 2.73
6 Al 0.2500 0.7500 0.5000  4 Sb 2.73
7 W 0.0000 0.0000 0.0000  4 Sb 2.68
8 W 0.7500 0.2500 0.5000  4 Sb 2.68

Output
Uncorrected energy ... -5.44 eV/atom
Formation energy (no corrections) ... 3.164 eV per formula unit
Space group ... I-42d

***

No. 10
This record from the Alexandria database describes a relaxed Ag2BiI crystal. The functional is GGA-PBE.

a = 7.0818 Å, b = 7.0818 Å, c = 7.4380 Å
α = 61.57°, β = 61.57°, γ = 90.00°
Closest atoms and distances in Å follow each position.
Fractional coordinates of all 8 atoms:
1 Ag 0.6335 0.1250 0.2500  2 Bi 2.82, 2 I 2.89
2 Ag 0.3750 0.3665 0.7500  2 Bi 2.82, 2 I 2.89
3 Ag 0.8750 0.8835 0.7500  2 Bi 2.82, 2 I 2.89
4 Ag 0.1165 0.6250 0.2500  2 Bi 2.82, 2 I 2.89
5 I 0.5000 0.5000 0.0000  4 Ag 2.89
6 I 0.2500 0.7500 0.5000  4 Ag 2.89
7 Bi 0.0000 0.0000 0.0000  4 Ag 2.82
8 Bi 0.7500 0.2500 0.5000  4 Ag 2.82

Output
Uncorrected energy ... -2.61 eV/atom
Formation energy (no corrections) ... 0.710 eV per formula unit
Space group ... I-42d
Relative energy among the computed polymorphs ... 0.000 eV/atom

***

No. 11
This record from the Alexandria database describes a relaxed U6Cd crystal. The functional is GGA-PBE.

a = 6.1686 Å, b = 6.1686 Å, c = 6.1686 Å
α = 109.47°, β = 109.47°, γ = 109.47°
Closest atoms and distances in Å follow each position.
Fractional coordinates of all 7 atoms:
1 U 0.5000 0.7500 0.2500  4 U 2.52
2 U 0.2500 0.7500 0.5000  4 U 2.52
3 U 0.2500 0.5000 0.7500  4 U 2.52
4 U 0.5000 0.2500 0.7500  4 U 2.52
5 U 0.7500 0.5000 0.2500  4 U 2.52
6 U 0.7500 0.2500 0.5000  4 U 2.52
7 Cd 0.0000 0.0000 0.0000  24 U 3.98

Output
Uncorrected energy ... -8.74 eV/atom
Energy relative to the elements ... 1.0675 eV per atom
Space group ... Im-3m

***

No. 12
This record from the Alexandria database describes a relaxed AcPd6Pt2 crystal. The functional is GGA-PBE.

a = 8.2715 Å, b = 8.2715 Å, c = 8.2715 Å
α = 60.00°, β = 60.00°, γ = 60.00°
Closest atoms and distances in Å follow each position.
Fractional coordinates of all 18 atoms:
1 Pd 0.7466 0.7466 0.2534  2 Pt 2.56
2 Pd 0.2534 0.7466 0.7466  2 Pt 2.56
3 Pd 0.5034 0.9966 0.5034  2 Pt 2.56
4 Pd 0.9966 0.5034 0.9966  2 Pt 2.56
5 Pd 0.9966 0.5034 0.5034  2 Pt 2.56
6 Pd 0.7466 0.2534 0.7466  2 Pt 2.56
7 Pd 0.5034 0.5034 0.9966  2 Pt 2.56
8 Pd 0.5034 0.9966 0.9966  2 Pt 2.56
9 Pd 0.9966 0.9966 0.5034  2 Pt 2.56
10 Pd 0.7466 0.2534 0.2534  2 Pt 2.56
11 Pd 0.2534 0.2534 0.7466  2 Pt 2.56
12 Pd 0.2534 0.7466 0.2534  2 Pt 2.56
13 Pt 0.6250 0.1250 0.1250  6 Pd 2.56
14 Pt 0.1250 0.6250 0.1250  6 Pd 2.56
15 Pt 0.1250 0.1250 0.6250  6 Pd 2.56
16 Pt 0.1250 0.1250 0.1250  6 Pd 2.56
17 Ac 0.7500 0.7500 0.7500  6 Pd 2.88
18 Ac 0.5000 0.5000 0.5000  6 Pd 2.88

Output
Uncorrected energy ... -5.04 eV/atom
Energy relative to the elements ... 0.2244 eV per atom
Space group ... Fd-3m